{
  "formula": "KTi2MoO8",
  "functional": "PBE with a Hubbard U",
  "state": "optimized geometry",
  "lattice": [[5.251, 1.016, 0.621], [1.022, 5.251, 0.598], [0.943, 0.984, 7.313]],
  "species": ["K", "Ti", "Ti", "Mo", "O", "O", "O", "O", "O", "O", "O", "O"],
  "frac_coords": [[0.000, 0.000, 0.500], [0.431, 0.431, 0.741], [0.569, 0.569, 0.259], [0.000, 0.000, 0.000], [0.237, 0.777, 0.182], [0.775, 0.776, 0.100], [0.778, 0.238, 0.182], [0.763, 0.223, 0.818], [0.225, 0.224, 0.900], [0.222, 0.762, 0.818], [0.622, 0.624, 0.483], [0.378, 0.376, 0.517]],
  "e_tot_ha_per_atom": -0.2742
}